# Pm2Ge2Pd, optimized geometry, DFT PBE
# DOS at the Fermi energy ... 13.70 states/eV/cell
# Total magnetization ... 0.199 μB/f.u.
# Uncorrected energy ... -5.689 eV per atom
# Energy relative to the elements ... -0.9029 eV per atom
data_Pm2Ge2Pd
_space_group_name_H-M_alt 'C 1 2/m 1'
_space_group_IT_number 12
_cell_length_a 10.821
_cell_length_b 4.416
_cell_length_c 10.618
_cell_angle_alpha 90.00
_cell_angle_beta 117.78
_cell_angle_gamma 90.00
loop_
_space_group_symop_operation_xyz
'x,y,z'
'-x,-y,-z'
'-x,y,-z'
'x,-y,z'
'x+1/2,y+1/2,z'
'-x+1/2,-y+1/2,-z'
'-x+1/2,y+1/2,-z'
'x+1/2,-y+1/2,z'
loop_
_atom_site_label
_atom_site_type_symbol
_atom_site_fract_x
_atom_site_fract_y
_atom_site_fract_z
_atom_site_occupancy
Pm1 Pm 0.009 0.000 0.329 1
Pm2 Pm 0.186 0.000 0.110 1
Ge1 Ge 0.022 0.500 0.885 1
Ge2 Ge 0.139 0.500 0.565 1
Pd1 Pd 0.224 0.500 0.350 1